Entry 1:
Here is an optimized crystal structure of CeMnCuH6 from Alexandria. Energies are from GGA-PBE.

Cell and atoms, written as extended XYZ:
```
9
Lattice="4.457 0.000 0.000 2.228 3.860 0.000 0.000 0.000 4.390" Properties=species:S:1:pos:R:3 pbc="T T T"
Ce 4.457 0.000 4.390
Mn 2.228 1.286 2.195
Cu 4.457 2.573 2.195
H 1.166 1.900 1.057
H 2.229 0.060 3.333
H 3.291 1.900 3.333
H 1.166 1.899 3.333
H 3.291 1.900 1.058
H 2.228 0.060 1.057
```

The density of states at the Fermi level comes out at 7.63 states/eV per cell. The density comes out at 5.8 g/cm³. The value obtained for the electronic total energy is -41.52 eV for the cell shown.

Entry 2:
Here is an optimized crystal structure of Ce2CuNi12H3 from Alexandria. Energies are from GGA-PBE.

Cell and atoms, written as extended XYZ:
```
18
Lattice="-2.628 -2.145 -5.759 -6.266 -2.308 -0.278 -4.811 3.460 -3.091" Properties=species:S:1:pos:R:3 pbc="T T T"
Ce -8.253 -0.598 -5.496
Ce -5.452 -0.395 -3.631
Cu 0.000 0.000 0.000
Ni -6.755 1.884 -4.428
Ni -9.789 -2.229 -6.564
Ni -10.659 0.007 -5.500
Ni -5.394 -1.609 -6.091
Ni -9.208 0.072 -7.686
Ni -7.662 -1.711 -2.675
Ni -6.950 -2.878 -4.699
Ni -3.917 1.235 -2.563
Ni -3.046 -1.000 -3.627
Ni -8.311 0.616 -3.036
Ni -4.497 -1.066 -1.441
Ni -6.043 0.718 -6.452
H -1.314 -1.072 -2.879
H -3.133 -1.154 -0.139
H -2.406 1.730 -1.545
```

The density of states at the Fermi level comes out at 3.45 states/eV per cell. The density comes out at 8.5 g/cm³. The value obtained for the electronic total energy is -96.70 eV for the cell shown.

Entry 3:
Here is an optimized crystal structure of CeCuNi2H8 from Alexandria. Energies are from GGA-PBE.

Cell and atoms, written as extended XYZ:
```
12
Lattice="4.428 0.000 0.000 2.214 3.834 0.000 2.214 1.278 5.487" Properties=species:S:1:pos:R:3 pbc="T T T"
Ce 4.428 2.556 2.744
Cu 0.000 0.000 0.000
Ni 2.214 1.278 0.545
Ni 6.641 3.834 4.942
H 2.214 1.278 2.210
H 3.828 1.402 0.810
H 6.641 3.834 3.278
H 5.727 2.614 0.810
H 3.128 2.499 4.677
H 3.728 3.653 0.810
H 5.127 1.460 4.677
H 5.027 3.710 4.677
```

The density of states at the Fermi level comes out at 7.62 states/eV per cell. The density comes out at 5.9 g/cm³. The value obtained for the electronic total energy is -49.84 eV for the cell shown.

Entry 4:
Here is an optimized crystal structure of CeCuH6Pd from Alexandria. Energies are from GGA-PBE.

Cell and atoms, written as extended XYZ:
```
9
Lattice="-4.580 0.052 -0.102 -2.358 -3.782 1.061 -0.080 1.247 4.263" Properties=species:S:1:pos:R:3 pbc="T T T"
Ce -4.660 1.299 4.161
Cu -4.665 -1.863 2.771
H -5.747 -1.564 1.435
H -4.709 -2.767 4.263
H -3.562 -0.928 3.747
H -5.789 -0.903 3.698
H -3.519 -1.589 1.484
H -4.666 -3.429 2.001
Pd -2.353 -0.620 2.451
```

The density of states at the Fermi level comes out at 6.22 states/eV per cell. The density comes out at 6.5 g/cm³. The value obtained for the electronic total energy is -37.47 eV for the cell shown.

Entry 5:
Here is an optimized crystal structure of CeCu2H8Pt from Alexandria. Energies are from GGA-PBE.

Cell and atoms, written as extended XYZ:
```
12
Lattice="4.422 0.000 0.000 2.211 3.830 0.000 2.211 1.277 6.354" Properties=species:S:1:pos:R:3 pbc="T T T"
Ce 4.422 2.553 3.177
Cu 2.211 1.277 1.262
Cu 6.633 3.830 5.092
H 2.211 1.277 2.915
H 3.904 1.271 1.057
H 6.633 3.830 3.439
H 5.791 2.745 1.057
H 3.053 2.361 5.297
H 3.571 3.643 1.057
H 5.273 1.463 5.297
H 4.941 3.835 5.297
Pt 0.000 0.000 0.000
```

The density of states at the Fermi level comes out at 7.82 states/eV per cell. The density comes out at 7.3 g/cm³. The value obtained for the electronic total energy is -48.23 eV for the cell shown.

Entry 6:
Here is an optimized crystal structure of CeCuH8Rh2 from Alexandria. Energies are from GGA-PBE.

Cell and atoms, written as extended XYZ:
```
12
Lattice="-1.192 3.806 2.539 -2.215 -0.522 4.144 3.716 0.900 4.797" Properties=species:S:1:pos:R:3 pbc="T T T"
Ce 0.154 2.092 5.740
Cu 0.000 0.000 0.000
H 0.921 1.012 3.317
H -0.948 2.357 3.604
H -0.612 3.171 8.163
H -1.962 3.251 5.587
H 2.271 0.932 5.893
H -1.878 0.877 5.248
H 2.187 3.306 6.232
H 1.257 1.826 7.876
Rh -0.584 1.072 2.520
Rh 0.893 3.111 8.960
```

The density of states at the Fermi level comes out at 6.49 states/eV per cell. The density comes out at 6.5 g/cm³. The value obtained for the electronic total energy is -53.78 eV for the cell shown.

Entry 7:
Here is an optimized crystal structure of Ce2CuH6Ru from Alexandria. Energies are from GGA-PBE.

Cell and atoms, written as extended XYZ:
```
20
Lattice="5.101 0.000 0.000 2.550 4.417 0.000 2.550 1.472 9.428" Properties=species:S:1:pos:R:3 pbc="T T T"
Ce 7.651 4.417 3.497
Ce 2.550 1.472 5.931
Ce 7.651 4.417 8.290
Ce 2.550 1.472 1.138
Cu 5.101 2.945 2.131
Cu 5.101 2.945 7.298
H 6.393 2.199 3.723
H 5.101 4.437 3.723
H 3.809 2.199 3.723
H 3.809 3.691 5.706
H 5.101 1.453 5.706
H 6.393 3.691 5.706
H 6.418 2.184 8.289
H 5.101 4.466 8.289
H 3.783 2.184 8.289
H 3.783 3.706 1.140
H 5.101 1.424 1.140
H 6.418 3.706 1.140
Ru 0.000 0.000 0.000
Ru 5.101 2.945 4.714
```

The density of states at the Fermi level comes out at 27.83 states/eV per cell. The density comes out at 7.0 g/cm³. The value obtained for the electronic total energy is -96.84 eV for the cell shown.

Entry 8:
Here is an optimized crystal structure of CeCuH6Ru from Alexandria. Energies are from GGA-PBE.

Cell and atoms, written as extended XYZ:
```
9
Lattice="-3.926 -1.846 1.549 -0.025 -4.293 1.671 0.836 1.530 3.943" Properties=species:S:1:pos:R:3 pbc="T T T"
Ce -3.090 -0.316 5.491
Cu -2.216 -3.328 4.118
H 0.143 -1.784 1.770
H -1.303 0.212 3.800
H -1.315 -1.866 4.609
H 0.585 -0.972 3.859
H -1.758 -2.677 2.519
H -1.746 -0.599 1.710
Ru -0.899 -1.281 3.045
```

The density of states at the Fermi level comes out at 4.17 states/eV per cell. The density comes out at 6.5 g/cm³. The value obtained for the electronic total energy is -41.75 eV for the cell shown.

Entry 9:
Here is an optimized crystal structure of CeCuSbH from Alexandria. Energies are from GGA-PBE.

Cell and atoms, written as extended XYZ:
```
4
Lattice="-3.777 -2.137 -0.438 2.929 -0.063 -3.233 1.838 -3.605 1.737" Properties=species:S:1:pos:R:3 pbc="T T T"
Ce -1.178 -2.331 -0.186
Cu 2.128 -3.740 -0.103
Sb 0.382 -4.785 -1.668
H 0.992 -1.511 -1.181
```

The density of states at the Fermi level comes out at 7.11 states/eV per cell. The density comes out at 7.5 g/cm³. The value obtained for the electronic total energy is -20.05 eV for the cell shown.

Entry 10:
Here is an optimized crystal structure of CeCuSiH from Alexandria. Energies are from GGA-PBE.

Cell and atoms, written as extended XYZ:
```
4
Lattice="-3.530 -1.859 0.992 2.809 0.761 2.903 -1.703 3.609 0.702" Properties=species:S:1:pos:R:3 pbc="T T T"
Ce -2.127 0.132 1.196
Cu -0.835 2.744 2.171
Si -2.309 1.880 3.825
H -0.079 1.144 1.860
```

The density of states at the Fermi level comes out at 1.72 states/eV per cell. The density comes out at 6.5 g/cm³. The value obtained for the electronic total energy is -21.11 eV for the cell shown.

Entry 11:
Here is an optimized crystal structure of CeCuTcH6 from Alexandria. Energies are from GGA-PBE.

Cell and atoms, written as extended XYZ:
```
9
Lattice="4.597 0.000 0.000 2.298 3.981 0.000 0.000 0.000 4.406" Properties=species:S:1:pos:R:3 pbc="T T T"
Ce 4.596 0.000 0.000
Cu 4.597 2.654 2.203
Tc 2.298 1.327 2.203
H 1.183 1.972 1.014
H 2.299 0.039 3.392
H 3.414 1.972 3.392
H 1.182 1.970 3.392
H 3.414 1.971 1.014
H 2.297 0.039 1.014
```

The density of states at the Fermi level comes out at 6.84 states/eV per cell. The density comes out at 6.3 g/cm³. The value obtained for the electronic total energy is -42.16 eV for the cell shown.

Entry 12:
Here is an optimized crystal structure of CeHfCu from Alexandria. Energies are from GGA-PBE.

Cell and atoms, written as extended XYZ:
```
3
Lattice="-0.189 0.121 -3.355 -4.648 -0.815 0.232 1.627 4.435 0.068" Properties=species:S:1:pos:R:3 pbc="T T T"
Hf -0.032 0.021 -0.575
Cu -0.495 2.705 -0.420
Ce -2.682 1.016 -2.060
```

The energy above the most stable polymorph in this dataset is 236 meV per atom. For the formation energy, the calculation gives 0.20 eV per atom. The density of states at the Fermi level comes out at 4.86 states/eV per cell. The density comes out at 9.8 g/cm³. The value obtained for the electronic total energy is -19.39 eV for the cell shown.

Entry 13:
Here is an optimized crystal structure of CeHf2Cu from Alexandria. Energies are from GGA-PBE.

Cell and atoms, written as extended XYZ:
```
4
Lattice="4.922 0.000 0.000 2.461 4.263 0.000 2.461 1.421 4.019" Properties=species:S:1:pos:R:3 pbc="T T T"
Ce 4.922 2.842 2.009
Hf 7.383 4.263 0.000
Hf 2.461 1.421 1.006
Cu 7.383 4.263 3.014
```

The energy above the most stable polymorph in this dataset is 166 meV per atom. For the formation energy, the calculation gives 0.18 eV per atom. The density of states at the Fermi level comes out at 9.56 states/eV per cell. The density comes out at 11.0 g/cm³. The value obtained for the electronic total energy is -29.21 eV for the cell shown.

Entry 14:
Here is an optimized crystal structure of CeHf2Cu from Alexandria. Energies are from GGA-PBE.

Cell and atoms, written as extended XYZ:
```
4
Lattice="-1.872 1.523 2.105 -2.496 -1.774 -0.936 1.839 -5.576 5.669" Properties=species:S:1:pos:R:3 pbc="T T T"
Hf 1.462 -4.435 4.509
Hf 0.376 -1.142 1.160
Cu -2.184 -0.126 0.584
Ce -1.264 -2.914 3.419
```

The energy above the most stable polymorph in this dataset is 0 meV per atom. For the formation energy, the calculation gives 0.02 eV per atom. The density of states at the Fermi level comes out at 5.85 states/eV per cell. The density comes out at 11.1 g/cm³. The value obtained for the electronic total energy is -29.87 eV for the cell shown.

Entry 15:
Here is an optimized crystal structure of CeHfCu10 from Alexandria. Energies are from GGA-PBE.

Cell and atoms, written as extended XYZ:
```
12
Lattice="4.111 0.000 0.000 0.000 4.977 0.000 0.000 0.000 8.593" Properties=species:S:1:pos:R:3 pbc="T T T"
Ce 0.000 0.000 0.000
Hf 0.000 2.488 4.296
Cu 0.000 0.000 2.942
Cu 0.000 2.488 7.057
Cu 0.000 2.488 1.535
Cu 0.000 0.000 5.651
Cu 2.055 0.000 4.296
Cu 2.055 2.488 0.000
Cu 2.055 1.270 2.229
Cu 2.055 3.707 6.363
Cu 2.055 3.707 2.229
Cu 2.055 1.270 6.363
```

For the formation energy, the calculation gives -0.06 eV per atom. The density of states at the Fermi level comes out at 13.23 states/eV per cell. The density comes out at 9.0 g/cm³. The value obtained for the electronic total energy is -57.62 eV for the cell shown.

Entry 16:
Here is an optimized crystal structure of CeHfCu from Alexandria. Energies are from GGA-PBE.

Cell and atoms, written as extended XYZ:
```
6
Lattice="3.270 0.000 0.000 0.000 3.270 0.000 0.000 0.000 11.333" Properties=species:S:1:pos:R:3 pbc="T T T"
Ce 0.000 1.635 6.860
Ce 1.635 0.000 4.473
Hf 0.000 1.635 2.176
Hf 1.635 0.000 9.156
Cu 1.635 0.000 0.632
Cu 0.000 1.635 10.700
```

The energy above the most stable polymorph in this dataset is 0 meV per atom. For the formation energy, the calculation gives -0.04 eV per atom. The density of states at the Fermi level comes out at 7.74 states/eV per cell. The density comes out at 10.5 g/cm³. The value obtained for the electronic total energy is -40.21 eV for the cell shown.

Entry 17:
Here is an optimized crystal structure of CeHfCu2 from Alexandria. Energies are from GGA-PBE.

Cell and atoms, written as extended XYZ:
```
4
Lattice="4.783 0.000 0.000 2.391 4.142 0.000 2.391 1.381 3.909" Properties=species:S:1:pos:R:3 pbc="T T T"
Hf 4.783 2.761 1.955
Cu 7.174 4.142 2.924
Cu 2.391 1.381 0.985
Ce 0.000 0.000 0.000
```

The energy above the most stable polymorph in this dataset is 102 meV per atom. For the formation energy, the calculation gives 0.04 eV per atom. The density of states at the Fermi level comes out at 6.37 states/eV per cell. The density comes out at 9.6 g/cm³. The value obtained for the electronic total energy is -23.93 eV for the cell shown.

Entry 18:
Here is an optimized crystal structure of CeHfCu2 from Alexandria. Energies are from GGA-PBE.

Cell and atoms, written as extended XYZ:
```
4
Lattice="3.263 0.000 0.000 0.000 3.263 0.000 0.000 0.000 7.207" Properties=species:S:1:pos:R:3 pbc="T T T"
Hf 1.631 1.631 0.000
Cu 0.000 0.000 5.732
Cu 0.000 0.000 1.475
Ce 1.631 1.631 3.603
```

The energy above the most stable polymorph in this dataset is 0 meV per atom. For the formation energy, the calculation gives -0.06 eV per atom. The density of states at the Fermi level comes out at 7.32 states/eV per cell. The density comes out at 9.6 g/cm³. The value obtained for the electronic total energy is -24.34 eV for the cell shown.

Entry 19:
Here is an optimized crystal structure of CeHfCu from Alexandria. Energies are from GGA-PBE.

Cell and atoms, written as extended XYZ:
```
3
Lattice="3.228 0.000 0.000 0.000 3.228 0.000 -1.614 -1.614 6.095" Properties=species:S:1:pos:R:3 pbc="T T T"
Hf 0.000 0.000 3.780
Ce 0.000 0.000 0.072
Cu 1.614 1.614 2.243
```

The energy above the most stable polymorph in this dataset is 20 meV per atom. For the formation energy, the calculation gives -0.02 eV per atom. The density of states at the Fermi level comes out at 3.61 states/eV per cell. The density comes out at 10.0 g/cm³. The value obtained for the electronic total energy is -20.04 eV for the cell shown.

Entry 20:
Here is an optimized crystal structure of CeHfCuIr from Alexandria. Energies are from GGA-PBE.

Cell and atoms, written as extended XYZ:
```
4
Lattice="-2.044 -3.119 3.003 1.606 -4.505 0.232 2.375 -1.498 3.878" Properties=species:S:1:pos:R:3 pbc="T T T"
Ir 1.453 -6.841 5.335
Hf 0.000 0.000 0.000
Cu 0.484 -2.280 1.778
Ce 0.968 -4.561 3.557
```

For the formation energy, the calculation gives -0.36 eV per atom. The density of states at the Fermi level comes out at 5.28 states/eV per cell. The density comes out at 12.3 g/cm³. The value obtained for the electronic total energy is -30.29 eV for the cell shown.